TlFe3C4O12 (GGA+U, optimized geometry); total magnetization = 11.2 μB per cell; symmetry = No. 155; crystal system = trigonal; E_tot = -7.123 eV/atom
1.0
4.9033 2.8309 2.7341
-4.9033 2.8309 2.7341
0.0000 -5.6618 2.7341
Tl Fe C O
1 3 4 12
Direct
0.0000 0.0000 0.0000
0.0000 0.5422 0.4578
0.4578 0.0000 0.5422
0.5422 0.4578 0.0000
0.0423 0.5000 0.9577
0.5000 0.5000 0.5000
0.5000 0.9577 0.0423
0.9577 0.0423 0.5000
0.0253 0.6136 0.8088
0.0903 0.9097 0.5000
0.1912 0.3864 0.9747
0.3673 0.6327 0.5000
0.3864 0.9747 0.1912
0.5000 0.0903 0.9097
0.5000 0.3673 0.6327
0.6136 0.8088 0.0253
0.6327 0.5000 0.3673
0.8088 0.0253 0.6136
0.9097 0.5000 0.0903
0.9747 0.1912 0.3864